Material: YScAs
Method: DFT, PBE
State: optimized geometry

Cell lengths 14.833, 3.985, 9.968 Å; angles 90.00, 90.36, 90.00 degrees
Space group C2/m (No. 12)
Unique sites:
Y (0.049, 0.000, 0.363) [4 per cell]
Y (0.090, 0.500, 0.860) [4 per cell]
Sc (0.192, 0.000, 0.083) [4 per cell]
Sc (0.238, 0.000, 0.654) [4 per cell]
As (0.099, 0.500, 0.177) [4 per cell]
As (0.121, 0.500, 0.562) [4 per cell]

---

Material: Y2ScAs
Method: DFT, PBE
State: optimized geometry

Cell lengths 7.247, 7.247, 7.247 Å; angles 90.00, 90.00, 90.00 degrees
Space group F-43m (No. 216)
Unique sites:
Y (0.000, 0.000, 0.000) [4 per cell]
Y (0.250, 0.250, 0.250) [4 per cell]
Sc (0.250, 0.250, 0.750) [4 per cell]
As (0.000, 0.000, 0.500) [4 per cell]

---

Material: YSc2As
Method: DFT, PBE
State: optimized geometry

Cell lengths 3.6171, 3.6171, 29.0834 Å; angles 90.00, 90.00, 120.00 degrees
Space group R-3m (No. 166, hexagonal axes)
Unique sites:
Y (0.0000, 0.0000, 0.0000) [3 per cell]
Sc (0.0000, 0.0000, 0.1120) [6 per cell]
As (0.0000, 0.0000, 0.5000) [3 per cell]

---

| no. | DFT formation energy (eV/atom) | magnetization (μB/cell) | E (hartree per atom) |
| --- | --- | --- | --- |
| 1 | -0.824 | 1.64 | -0.2440 |
| 2 | -0.132 | 0.00 | -0.2245 |
| 3 | -0.345 | 2.99 | -0.2311 |